[1]
# Mg2ReSe | Alexandria | PBEsol | optimized geometry
data_Mg2ReSe
_cell_length_a 3.0658
_cell_length_b 3.0658
_cell_length_c 25.3072
_cell_angle_alpha 90.00
_cell_angle_beta 90.00
_cell_angle_gamma 120.00
_space_group_name_H-M_alt 'R -3 m'
_space_group_IT_number 166
_space_group_name_Hall '-R 3 2"'
loop_
_atom_site_label
_atom_site_type_symbol
_atom_site_fract_x
_atom_site_fract_y
_atom_site_fract_z
Mg1 Mg 0.0000 0.0000 0.2489
Re1 Re 0.0000 0.0000 0.0000
Se1 Se 0.0000 0.0000 0.5000
# Uncorrected formation energy: 177.8 meV/atom



[2]
# MgReSe2 | Alexandria | PBEsol | optimized geometry
data_MgReSe2
_cell_length_a 5.8687
_cell_length_b 5.8687
_cell_length_c 10.9106
_cell_angle_alpha 90.00
_cell_angle_beta 90.00
_cell_angle_gamma 90.00
_space_group_name_H-M_alt 'I -4 2 d'
_space_group_IT_number 122
_space_group_name_Hall 'I -4 2bw'
loop_
_atom_site_label
_atom_site_type_symbol
_atom_site_fract_x
_atom_site_fract_y
_atom_site_fract_z
Mg1 Mg 0.0000 0.0000 0.0000
Re1 Re 0.0000 0.0000 0.5000
Se1 Se 0.2228 0.2500 0.6250
# Uncorrected formation energy: 85.9 meV/atom